[1]
# Tb8Pm3Nd3 PBE relaxed
data_Tb8Pm3Nd3
_chemical_formula_sum 'Tb16 Pm6 Nd6'
_cell_length_a 5.713
_cell_length_b 10.856
_cell_length_c 15.240
_cell_angle_alpha 90.00
_cell_angle_beta 90.00
_cell_angle_gamma 90.00
_space_group_name_H-M_alt 'I m m m'
_space_group_IT_number 71
_space_group_name_Hall '-I 2 2'
loop_
_atom_site_label
_atom_site_type_symbol
_atom_site_fract_x
_atom_site_fract_y
_atom_site_fract_z
Tb1 Tb 0.000 0.160 0.103
Tb2 Tb 0.000 0.339 0.279
Pm1 Pm 0.000 0.199 0.500
Pm2 Pm 0.000 0.500 0.500
Nd1 Nd 0.000 0.000 0.315
Nd2 Nd 0.000 0.500 0.000
# magnetic moment = 0.0 Bohr magnetons per cell
# Fermi-level density of states = 1.449 states/eV per atom
# E_form = 106 meV per atom
# total energy = -4.58 eV per atom


[2]
# Tb6Pm2Nd5 PBE relaxed
data_Tb6Pm2Nd5
_chemical_formula_sum 'Tb12 Pm4 Nd10'
_cell_length_a 11.795
_cell_length_b 20.696
_cell_length_c 3.629
_cell_angle_alpha 90.00
_cell_angle_beta 90.00
_cell_angle_gamma 90.00
_space_group_name_H-M_alt 'P b a m'
_space_group_IT_number 55
loop_
_space_group_symop_operation_xyz
'x,y,z'
'-x,-y,-z'
'-x,-y,z'
'x,y,-z'
'x+1/2,-y+1/2,-z'
'-x+1/2,y+1/2,z'
'-x+1/2,y+1/2,-z'
'x+1/2,-y+1/2,z'
loop_
_atom_site_label
_atom_site_type_symbol
_atom_site_fract_x
_atom_site_fract_y
_atom_site_fract_z
Tb1 Tb 0.062 0.077 0.000
Tb2 Tb 0.076 0.366 0.000
Tb3 Tb 0.180 0.632 0.500
Pm1 Pm 0.175 0.784 0.000
Nd1 Nd 0.000 0.500 0.500
Nd2 Nd 0.083 0.222 0.500
Nd3 Nd 0.200 0.947 0.500
# magnetic moment = 0.0 Bohr magnetons per cell
# Fermi-level density of states = 1.248 states/eV per atom
# E_form = 91 meV per atom
# total energy = -4.61 eV per atom


[3]
# Tb3Pm4Nd8 PBE relaxed
data_Tb3Pm4Nd8
_chemical_formula_sum 'Tb6 Pm8 Nd16'
_cell_length_a 14.104
_cell_length_b 12.313
_cell_length_c 6.912
_cell_angle_alpha 90.00
_cell_angle_beta 119.20
_cell_angle_gamma 90.00
_space_group_name_H-M_alt 'C 1 2/m 1'
_space_group_IT_number 12
loop_
_space_group_symop_operation_xyz
'x,y,z'
'-x,-y,-z'
'-x,y,-z'
'x,-y,z'
'x+1/2,y+1/2,z'
'-x+1/2,-y+1/2,-z'
'-x+1/2,y+1/2,-z'
'x+1/2,-y+1/2,z'
loop_
_atom_site_label
_atom_site_type_symbol
_atom_site_fract_x
_atom_site_fract_y
_atom_site_fract_z
Tb1 Tb 0.000 0.000 0.000
Tb2 Tb 0.250 0.250 0.500
Pm1 Pm 0.000 0.500 0.000
Pm2 Pm 0.000 0.500 0.500
Pm3 Pm 0.250 0.250 0.000
Nd1 Nd 0.000 0.202 0.500
Nd2 Nd 0.000 0.252 0.000
Nd3 Nd 0.202 0.000 0.701
Nd4 Nd 0.248 0.500 0.749
# magnetic moment = 0.4 Bohr magnetons per cell
# Fermi-level density of states = 1.634 states/eV per atom
# E_form = 313 meV per atom
# total energy = -4.42 eV per atom


[4]
# TbPm2Nd9 PBE relaxed
data_TbPm2Nd9
_chemical_formula_sum 'Tb1 Pm2 Nd9'
_cell_length_a 5.183
_cell_length_b 5.183
_cell_length_c 15.538
_cell_angle_alpha 90.00
_cell_angle_beta 90.00
_cell_angle_gamma 90.00
_space_group_name_H-M_alt 'P 4/m m m'
_space_group_IT_number 123
_space_group_name_Hall '-P 4 2'
loop_
_atom_site_label
_atom_site_type_symbol
_atom_site_fract_x
_atom_site_fract_y
_atom_site_fract_z
Tb1 Tb 0.000 0.000 0.000
Pm1 Pm 0.000 0.000 0.333
Nd1 Nd 0.000 0.500 0.165
Nd2 Nd 0.000 0.500 0.500
Nd3 Nd 0.500 0.500 0.000
Nd4 Nd 0.500 0.500 0.333
# magnetic moment = 0.0 Bohr magnetons per cell
# Fermi-level density of states = 1.655 states/eV per atom
# E_form = 14 meV per atom
# total energy = -4.74 eV per atom


[5]
# Tb5Pm2Nd PBE relaxed
data_Tb5Pm2Nd
_chemical_formula_sum 'Tb10 Pm4 Nd2'
_cell_length_a 7.200
_cell_length_b 14.405
_cell_length_c 5.083
_cell_angle_alpha 90.00
_cell_angle_beta 90.00
_cell_angle_gamma 90.00
_space_group_name_H-M_alt 'P b a m'
_space_group_IT_number 55
loop_
_space_group_symop_operation_xyz
'x,y,z'
'-x,-y,-z'
'-x,-y,z'
'x,y,-z'
'x+1/2,-y+1/2,-z'
'-x+1/2,y+1/2,z'
'-x+1/2,y+1/2,-z'
'x+1/2,-y+1/2,z'
loop_
_atom_site_label
_atom_site_type_symbol
_atom_site_fract_x
_atom_site_fract_y
_atom_site_fract_z
Tb1 Tb 0.000 0.000 0.000
Tb2 Tb 0.001 0.249 0.000
Tb3 Tb 0.250 0.126 0.500
Pm1 Pm 0.249 0.874 0.500
Nd1 Nd 0.000 0.500 0.000
# magnetic moment = 0.0 Bohr magnetons per cell
# Fermi-level density of states = 1.379 states/eV per atom
# E_form = 15 meV per atom
# total energy = -4.66 eV per atom


[6]
# Tb16Pm7Nd6 PBE relaxed
data_Tb16Pm7Nd6
_chemical_formula_sum 'Tb64 Pm28 Nd24'
_cell_length_a 15.966
_cell_length_b 15.966
_cell_length_c 15.966
_cell_angle_alpha 90.00
_cell_angle_beta 90.00
_cell_angle_gamma 90.00
_space_group_name_H-M_alt 'F m -3 m'
_space_group_IT_number 225
_space_group_name_Hall '-F 4 2 3'
loop_
_atom_site_label
_atom_site_type_symbol
_atom_site_fract_x
_atom_site_fract_y
_atom_site_fract_z
Tb1 Tb 0.128 0.128 0.128
Tb2 Tb 0.151 0.151 0.349
Pm1 Pm 0.000 0.000 0.000
Pm2 Pm 0.000 0.250 0.250
Nd1 Nd 0.000 0.000 0.267
# magnetic moment = 0.0 Bohr magnetons per cell
# Fermi-level density of states = 1.753 states/eV per atom
# E_form = 231 meV per atom
# total energy = -4.46 eV per atom


Repeat the second record exactly.
# Tb6Pm2Nd5 PBE relaxed
data_Tb6Pm2Nd5
_chemical_formula_sum 'Tb12 Pm4 Nd10'
_cell_length_a 11.795
_cell_length_b 20.696
_cell_length_c 3.629
_cell_angle_alpha 90.00
_cell_angle_beta 90.00
_cell_angle_gamma 90.00
_space_group_name_H-M_alt 'P b a m'
_space_group_IT_number 55
loop_
_space_group_symop_operation_xyz
'x,y,z'
'-x,-y,-z'
'-x,-y,z'
'x,y,-z'
'x+1/2,-y+1/2,-z'
'-x+1/2,y+1/2,z'
'-x+1/2,y+1/2,-z'
'x+1/2,-y+1/2,z'
loop_
_atom_site_label
_atom_site_type_symbol
_atom_site_fract_x
_atom_site_fract_y
_atom_site_fract_z
Tb1 Tb 0.062 0.077 0.000
Tb2 Tb 0.076 0.366 0.000
Tb3 Tb 0.180 0.632 0.500
Pm1 Pm 0.175 0.784 0.000
Nd1 Nd 0.000 0.500 0.500
Nd2 Nd 0.083 0.222 0.500
Nd3 Nd 0.200 0.947 0.500
# magnetic moment = 0.0 Bohr magnetons per cell
# Fermi-level density of states = 1.248 states/eV per atom
# E_form = 91 meV per atom
# total energy = -4.61 eV per atom